Entry from Alexandria via LeMat-Bulk: an optimized crystal structure of SmErSc2 (PBE-GGA).

Results
formation energy = 0.08 eV/atom
distance to the lowest polymorph of the same formula = 37 meV/atom

CIF file:
```
data_SmErSc2
_chemical_formula_sum 'Sm4 Er4 Sc8'
_cell_length_a 7.665
_cell_length_b 7.665
_cell_length_c 7.665
_cell_angle_alpha 90.00
_cell_angle_beta 90.00
_cell_angle_gamma 90.00
_space_group_name_H-M_alt 'F m -3 m'
_space_group_IT_number 225
_space_group_name_Hall '-F 4 2 3'
loop_
_atom_site_label
_atom_site_type_symbol
_atom_site_fract_x
_atom_site_fract_y
_atom_site_fract_z
Sm1 Sm 0.000 0.000 0.000
Er1 Er 0.000 0.000 0.500
Sc1 Sc 0.250 0.250 0.250
```


Entry from Alexandria via LeMat-Bulk: an optimized crystal structure of BaCd3In3 (PBE-GGA).

Results
formation energy = -0.20 eV/atom
distance to the lowest polymorph of the same formula = 28 meV/atom

CIF file:
```
data_BaCd3In3
_chemical_formula_sum 'Ba6 Cd18 In18'
_cell_length_a 8.4219
_cell_length_b 8.4219
_cell_length_c 19.5163
_cell_angle_alpha 90.00
_cell_angle_beta 90.00
_cell_angle_gamma 120.00
_space_group_name_H-M_alt 'R -3 m'
_space_group_IT_number 166
_space_group_name_Hall '-R 3 2"'
loop_
_atom_site_label
_atom_site_type_symbol
_atom_site_fract_x
_atom_site_fract_y
_atom_site_fract_z
Ba1 Ba 0.0000 0.0000 0.1264
Cd1 Cd 0.0807 0.5403 0.1064
In1 In 0.0760 0.5380 0.3591
```


Entry from Alexandria via LeMat-Bulk: an optimized crystal structure of Ac3HoTm3Te8 (PBE-GGA).

Results
E_tot = -228.76 eV per cell

CIF file:
```
data_Ac3HoTm3Te8
_chemical_formula_sum 'Ac9 Ho3 Tm9 Te24'
_cell_length_a 8.8607
_cell_length_b 8.8607
_cell_length_c 22.6209
_cell_angle_alpha 90.00
_cell_angle_beta 90.00
_cell_angle_gamma 120.00
_space_group_name_H-M_alt 'R -3 m'
_space_group_IT_number 166
_space_group_name_Hall '-R 3 2"'
loop_
_atom_site_label
_atom_site_type_symbol
_atom_site_fract_x
_atom_site_fract_y
_atom_site_fract_z
Ac1 Ac 0.0000 0.5000 0.0000
Ho1 Ho 0.0000 0.0000 0.5000
Tm1 Tm 0.0000 0.5000 0.5000
Te1 Te 0.0000 0.0000 0.2399
Te2 Te 0.0105 0.5052 0.7575
```